1.
{
  "formula": "MgRuW",
  "functional": "SCAN",
  "state": "single point on PBEsol structure",
  "lattice_angstrom": [[0.000, 2.993, 2.993], [2.993, 0.000, 2.993], [2.993, 2.993, 0.000]],
  "species": ["Mg", "Ru", "W"],
  "frac_coords": [[0.000, 0.000, 0.000], [0.500, 0.500, 0.500], [0.250, 0.250, 0.250]],
  "crystal_system": "cubic",
  "spacegroup": "No. 216",
  "e_form_ev_per_atom": 0.830
}

2.
{
  "formula": "DyMn2Si2",
  "functional": "SCAN",
  "state": "single point on PBEsol structure",
  "lattice_angstrom": [[-1.921, 1.921, 5.105], [1.921, -1.921, 5.105], [1.921, 1.921, -5.105]],
  "species": ["Dy", "Mn", "Mn", "Si", "Si"],
  "frac_coords": [[0.000, 0.000, 0.000], [0.250, 0.750, 0.500], [0.750, 0.250, 0.500], [0.380, 0.380, 0.000], [0.620, 0.620, 0.000]],
  "e_form_raw_mev_per_atom": -709,
  "crystal_system": "tetragonal",
  "spacegroup": "No. 139"
}

3.
{
  "formula": "SiS2",
  "functional": "SCAN",
  "state": "single point on PBEsol structure",
  "lattice_angstrom": [[6.254, 0.000, 0.000], [0.000, 7.873, 0.000], [-1.341, 0.000, 5.643]],
  "species": ["Si", "Si", "Si", "Si", "S", "S", "S", "S", "S", "S", "S", "S"],
  "frac_coords": [[0.119, 0.135, 0.118], [0.119, 0.365, 0.618], [0.881, 0.635, 0.382], [0.881, 0.865, 0.882], [0.228, 0.605, 0.514], [0.228, 0.895, 0.014], [0.247, 0.141, 0.493], [0.247, 0.359, 0.993], [0.753, 0.641, 0.007], [0.753, 0.859, 0.507], [0.772, 0.105, 0.986], [0.772, 0.395, 0.486]],
  "e_form_raw_mev_per_atom": -756,
  "crystal_system": "monoclinic",
  "spacegroup": "No. 14"
}

4.
{
  "formula": "SrLi3Ni",
  "functional": "SCAN",
  "state": "single point on PBEsol structure",
  "lattice_angstrom": [[4.787, 0.000, 0.000], [0.000, 4.787, 0.000], [0.000, 0.000, 4.787]],
  "species": ["Sr", "Li", "Li", "Li", "Ni"],
  "frac_coords": [[0.000, 0.000, 0.000], [0.000, 0.500, 0.500], [0.500, 0.000, 0.500], [0.500, 0.500, 0.000], [0.500, 0.500, 0.500]],
  "crystal_system": "cubic",
  "spacegroup": "No. 221",
  "e_form_ev_per_atom": 0.180
}

5.
{
  "formula": "CrSb2Pt",
  "functional": "SCAN",
  "state": "single point on PBEsol structure",
  "lattice_angstrom": [[-2.239, 2.239, 8.486], [2.239, -2.239, 8.486], [2.239, 2.239, -8.486]],
  "species": ["Cr", "Cr", "Sb", "Sb", "Sb", "Sb", "Pt", "Pt"],
  "frac_coords": [[0.000, 0.000, 0.000], [0.750, 0.250, 0.500], [0.127, 0.625, 0.002], [0.375, 0.377, 0.502], [0.623, 0.125, 0.998], [0.875, 0.873, 0.498], [0.250, 0.750, 0.500], [0.500, 0.500, 0.000]],
  "e_form_raw_mev_per_atom": -54,
  "e_above_lowest_polymorph_mev_per_atom": 0.0,
  "crystal_system": "tetragonal",
  "spacegroup": "No. 122"
}

6.
{
  "formula": "CaY2As",
  "functional": "SCAN",
  "state": "single point on PBEsol structure",
  "lattice_angstrom": [[3.698, 0.000, 0.000], [0.000, 3.698, 0.000], [-0.006, 0.000, 8.259]],
  "species": ["Ca", "Y", "Y", "As"],
  "frac_coords": [[0.000, 0.000, 0.000], [0.499, 0.500, 0.657], [0.998, 0.000, 0.380], [0.499, 0.500, 0.224]],
  "crystal_system": "monoclinic",
  "spacegroup": "No. 6",
  "e_form_ev_per_atom": -0.625
}

7.
{
  "formula": "TlCdRe2C",
  "functional": "SCAN",
  "state": "single point on PBEsol structure",
  "lattice_angstrom": [[5.039, 0.000, 0.000], [0.000, 5.039, 0.000], [0.000, 0.000, 3.788]],
  "species": ["Tl", "Cd", "Re", "Re", "C"],
  "frac_coords": [[0.000, 0.000, 0.000], [0.500, 0.500, 0.500], [0.000, 0.500, 0.500], [0.500, 0.000, 0.500], [0.500, 0.500, 0.000]],
  "crystal_system": "tetragonal",
  "spacegroup": "No. 123",
  "e_form_ev_per_atom": 3.154
}

8.
{
  "formula": "MgCuAu2",
  "functional": "SCAN",
  "state": "single point on PBEsol structure",
  "lattice_angstrom": [[0.000, 3.159, 3.159], [3.159, 0.000, 3.159], [3.159, 3.159, 0.000]],
  "species": ["Mg", "Cu", "Au", "Au"],
  "frac_coords": [[0.000, 0.000, 0.000], [0.250, 0.250, 0.250], [0.500, 0.500, 0.500], [0.750, 0.750, 0.750]],
  "crystal_system": "cubic",
  "spacegroup": "No. 216",
  "e_form_ev_per_atom": -0.325
}

9.
{
  "formula": "GaSnP2S",
  "functional": "SCAN",
  "state": "single point on PBEsol structure",
  "lattice_angstrom": [[4.993, 0.000, 0.000], [0.000, 4.993, 0.000], [0.000, 0.000, 5.001]],
  "species": ["Ga", "Sn", "P", "P", "S"],
  "frac_coords": [[0.000, 0.000, 0.000], [0.500, 0.500, 0.500], [0.000, 0.500, 0.500], [0.500, 0.000, 0.500], [0.500, 0.500, 0.000]],
  "e_form_raw_mev_per_atom": 896,
  "crystal_system": "tetragonal",
  "spacegroup": "No. 123"
}

10.
{
  "formula": "MgCdRe3",
  "functional": "SCAN",
  "state": "single point on PBEsol structure",
  "lattice_angstrom": [[4.779, 0.000, 0.000], [0.000, 4.779, 0.000], [0.000, 0.000, 4.779]],
  "species": ["Mg", "Cd", "Re", "Re", "Re"],
  "frac_coords": [[0.000, 0.000, 0.000], [0.500, 0.500, 0.500], [0.000, 0.500, 0.500], [0.500, 0.000, 0.500], [0.500, 0.500, 0.000]],
  "crystal_system": "cubic",
  "spacegroup": "No. 221",
  "e_form_ev_per_atom": 3.134
}

11.
{
  "formula": "GeP2ICl",
  "functional": "SCAN",
  "state": "single point on PBEsol structure",
  "lattice_angstrom": [[5.087, 0.000, 0.000], [0.000, 5.087, 0.000], [0.000, 0.000, 5.101]],
  "species": ["Ge", "P", "P", "I", "Cl"],
  "frac_coords": [[0.000, 0.000, 0.000], [0.000, 0.500, 0.500], [0.500, 0.000, 0.500], [0.500, 0.500, 0.500], [0.500, 0.500, 0.000]],
  "e_form_raw_mev_per_atom": 1310,
  "crystal_system": "tetragonal",
  "spacegroup": "No. 123"
}

12.
{
  "formula": "Ag2Pt",
  "functional": "SCAN",
  "state": "single point on PBEsol structure",
  "lattice_angstrom": [[4.216, -2.459, 0.000], [4.216, 2.459, 0.000], [0.000, 0.000, 4.618]],
  "species": ["Ag", "Ag", "Ag", "Ag", "Pt", "Pt"],
  "frac_coords": [[0.005, 0.323, 0.250], [0.323, 0.005, 0.750], [0.677, 0.995, 0.250], [0.995, 0.677, 0.750], [0.352, 0.648, 0.250], [0.648, 0.352, 0.750]],
  "e_above_lowest_polymorph_mev_per_atom": 38.7,
  "crystal_system": "orthorhombic",
  "spacegroup": "No. 63",
  "e_form_ev_per_atom": 0.029
}

13.
{
  "formula": "ErSiNi",
  "functional": "SCAN",
  "state": "single point on PBEsol structure",
  "lattice_angstrom": [[6.708, 0.000, 0.000], [0.000, 4.092, 0.000], [0.000, 0.000, 7.021]],
  "species": ["Er", "Er", "Er", "Er", "Si", "Si", "Si", "Si", "Ni", "Ni", "Ni", "Ni"],
  "frac_coords": [[0.010, 0.250, 0.200], [0.490, 0.750, 0.700], [0.510, 0.250, 0.300], [0.990, 0.750, 0.800], [0.190, 0.250, 0.589], [0.310, 0.750, 0.089], [0.690, 0.250, 0.911], [0.810, 0.750, 0.411], [0.187, 0.750, 0.417], [0.313, 0.250, 0.917], [0.687, 0.750, 0.083], [0.813, 0.250, 0.583]],
  "e_form_raw_mev_per_atom": -869,
  "crystal_system": "orthorhombic",
  "spacegroup": "No. 62"
}

14.
{
  "formula": "CsTeRuN2",
  "functional": "SCAN",
  "state": "single point on PBEsol structure",
  "lattice_angstrom": [[4.127, 0.000, 0.000], [0.000, 4.127, 0.000], [0.000, 0.000, 7.004]],
  "species": ["Cs", "Te", "Ru", "N", "N"],
  "frac_coords": [[0.000, 0.000, 0.000], [0.000, 0.000, 0.500], [0.500, 0.500, 0.500], [0.000, 0.500, 0.000], [0.500, 0.000, 0.000]],
  "e_form_raw_mev_per_atom": 2768,
  "crystal_system": "tetragonal",
  "spacegroup": "No. 123"
}